No. 1
Entry from OQMD: DyPbS2 after structural relaxation (PBE).

Calculated values
Magnetic moment = 0.01 μB per formula unit
E_tot = -5.2550 eV/atom

a = 4.0733 Å, b = 4.0733 Å, c = 5.7885 Å
α = 90.00°, β = 90.00°, γ = 90.00°
Space group P4/mmm (No. 123)
Inequivalent atoms, fractional coordinates:
Dy (0.0000, 0.0000, 0.0000)
Pb (0.5000, 0.5000, 0.5000)
S (0.0000, 0.0000, 0.5000)
S (0.5000, 0.5000, 0.0000)

***

No. 2
Entry from OQMD: DyPb2S3 after structural relaxation (PBE).

Calculated values
Magnetic moment = 0.01 μB per formula unit
E_tot = -5.1166 eV/atom

a = 3.9487 Å, b = 3.9487 Å, c = 11.5150 Å
α = 90.00°, β = 90.00°, γ = 120.00°
Space group P-3m1 (No. 164)
Inequivalent atoms, fractional coordinates:
Dy (0.0000, 0.0000, 0.0000)
Pb (0.3333, 0.6667, 0.6630)
S (0.0000, 0.0000, 0.5000)
S (0.3333, 0.6667, 0.1314)

***

No. 3
Entry from OQMD: DySnPbS3 after structural relaxation (PBE).

Calculated values
Magnetic moment = 0.00 μB per formula unit
E_tot = -5.0972 eV/atom

a = 3.8793 Å, b = 14.8656 Å, c = 11.1965 Å
α = 90.00°, β = 90.00°, γ = 90.00°
Space group Cmcm (No. 63)
Inequivalent atoms, fractional coordinates:
Dy (0.0000, 0.0000, 0.0000)
Sn (0.0000, 0.3549, 0.2500)
Pb (0.0000, 0.3379, 0.7500)
S (0.0000, 0.0064, 0.7500)
S (0.0000, 0.3729, 0.0034)

***

No. 4
Entry from OQMD: DySbPb after structural relaxation (PBE).

Calculated values
Magnetic moment = 0.01 μB per formula unit
E_tot = -4.3726 eV/atom

a = 7.3428 Å, b = 7.3428 Å, c = 7.3428 Å
α = 90.00°, β = 90.00°, γ = 90.00°
Space group F-43m (No. 216)
Inequivalent atoms, fractional coordinates:
Dy (0.0000, 0.0000, 0.0000)
Sb (0.2500, 0.2500, 0.2500)
Pb (0.0000, 0.0000, 0.5000)